A plane-wave DFT calculation with SCAN was carried out for a crystal of Rb2Mo15Se19 relaxed with PBEsol.

Lattice parameters (Å, degrees): 9.6903 9.6903 58.1295 90.00 90.00 120.00
Space group R-3c (No. 167, hexagonal axes)
Symmetry-distinct sites (fractional):
Rb  0.0000  0.0000  0.1135 x12
Mo  0.0000  0.1588  0.2500 x18
Mo  0.0100  0.1626  0.7109 x36
Mo  0.0212  0.1679  0.9805 x36
Se  0.0000  0.0000  0.0540 x12
Se  0.0000  0.0000  0.1763 x12
Se  0.0000  0.3070  0.7500 x18
Se  0.0077  0.3793  0.6831 x36
Se  0.0180  0.3718  0.9523 x36

Calculated values
* formation energy (no corrections): -666 meV per atom
* energy: -26.9502 eV/atom
* total moment: 0.00 μB/atom